# 1
Below is CaAlGa2Au4 after structural relaxation, with properties calculated at the PBE level.

```
CaAlGa2Au4
1.0
-0.962 4.112 -1.567
-3.659 2.174 1.475
3.278 5.733 6.558
Al Ga Au Ca
1 2 4 1
direct
0.500 0.500 0.500
0.256 0.256 0.232
0.744 0.744 0.768
0.140 0.140 0.581
0.599 0.599 0.202
0.401 0.401 0.798
0.860 0.860 0.419
0.000 0.000 0.000
```

Output
Calculated volume   19.6 Å³/atom
Energy of formation from the pure elements   -0.43 eV per atom
Crystal system   trigonal
Theoretical density   10515 kg/m³
Energy   -3.5452 eV/atom
Total moment   0.00 μB/f.u.

***

# 2
Below is Ca3Al2GaAu9 after structural relaxation, with properties calculated at the PBE level.

```
Ca3Al2GaAu9
1.0
-1.149 5.836 0.587
-4.062 -4.033 1.721
4.653 -0.153 10.624
Ga Au Ca Al
1 9 3 2
direct
0.000 0.000 0.500
0.000 0.500 0.000
0.500 0.500 0.000
0.331 0.166 0.670
0.669 0.834 0.330
0.834 0.166 0.670
0.166 0.834 0.330
0.500 0.000 0.000
0.166 0.331 0.330
0.834 0.669 0.670
0.000 0.000 0.000
0.333 0.667 0.760
0.667 0.333 0.240
0.333 0.667 0.167
0.667 0.333 0.833
```

Output
Calculated volume   23.9 Å³/atom
Energy of formation from the pure elements   -0.45 eV per atom
Crystal system   trigonal
Theoretical density   9331 kg/m³
Energy   -3.5132 eV/atom
Total moment   0.00 μB/f.u.

***

# 3
Below is CaAl2GaAu4 after structural relaxation, with properties calculated at the PBE level.

```
CaAl2GaAu4
1.0
4.375 0.000 0.000
2.187 3.789 0.000
2.187 1.263 9.514
Au Ga Ca Al
4 1 1 2
direct
0.398 0.398 0.805
0.602 0.602 0.195
0.872 0.872 0.383
0.128 0.128 0.617
0.500 0.500 0.500
0.000 0.000 0.000
0.755 0.755 0.736
0.245 0.245 0.264
```

Output
Calculated volume   19.7 Å³/atom
Energy of formation from the pure elements   -0.42 eV per atom
Crystal system   trigonal
Theoretical density   10022 kg/m³
Energy   -3.6249 eV/atom
Total moment   0.00 μB/f.u.

***

# 4
Below is Ca2AlGa6Au after structural relaxation, with properties calculated at the PBE level.

```
Ca2AlGa6Au
1.0
-2.963 5.348 2.255
-4.881 2.690 -3.377
-10.679 -4.344 5.686
Ga Ca Au Al
12 4 2 2
direct
0.654 0.055 0.638
0.346 0.346 0.362
0.809 0.809 0.171
0.654 0.654 0.638
0.055 0.654 0.638
0.191 0.789 0.829
0.945 0.346 0.362
0.809 0.211 0.171
0.191 0.191 0.829
0.211 0.809 0.171
0.789 0.191 0.829
0.346 0.945 0.362
0.137 0.137 0.588
0.863 0.863 0.412
0.306 0.306 0.082
0.694 0.694 0.918
0.419 0.419 0.743
0.581 0.581 0.257
0.000 0.000 0.000
0.500 0.500 0.500
```

Output
Calculated volume   22.6 Å³/atom
Energy of formation from the pure elements   -0.21 eV per atom
Crystal system   trigonal
Theoretical density   5308 kg/m³
Energy   -3.1247 eV/atom
Total moment   0.00 μB/f.u.

***

# 5
Below is Ca3AlGe2Au6 after structural relaxation, with properties calculated at the PBE level.

```
Ca3AlGe2Au6
1.0
6.187 0.000 0.000
-3.094 5.358 0.000
0.000 0.000 8.257
Ca Au Al Ge
3 6 1 2
direct
0.333 0.667 0.642
0.667 0.333 0.358
0.000 0.000 0.000
0.825 0.649 0.709
0.351 0.175 0.709
0.175 0.825 0.291
0.825 0.175 0.709
0.649 0.825 0.291
0.175 0.351 0.291
0.000 0.000 0.500
0.667 0.333 0.960
0.333 0.667 0.040
```

Output
Calculated volume   22.8 Å³/atom
Energy of formation from the pure elements   -0.48 eV per atom
Crystal system   trigonal
Theoretical density   8942 kg/m³
Energy   -3.7041 eV/atom
Total moment   0.00 μB/f.u.

***

# 6
Below is Ca2AlHAu6 after structural relaxation, with properties calculated at the PBE level.

```
Ca2AlHAu6
1.0
6.547 -0.018 -0.294
-0.017 6.548 -0.295
3.053 3.052 4.344
Au Al Ca H
6 1 2 1
direct
0.790 0.790 0.462
0.228 0.772 0.000
0.772 0.228 0.000
0.210 0.210 0.538
0.790 0.790 0.960
0.210 0.210 0.040
0.500 0.500 0.000
0.722 0.278 0.500
0.278 0.722 0.500
0.000 0.000 0.000
```

Output
Calculated volume   19.8 Å³/atom
Crystal system   monoclinic
Theoretical density   10817 kg/m³
Energy   -3.4765 eV/atom
Total moment   0.00 μB/f.u.